CrGaN2: optimized geometry, GGA-PBE.

The structure in POSCAR format:
```
CrGaN2
1.0
-2.2793 2.2793 4.4883
2.2793 -2.2793 4.4883
2.2793 2.2793 -4.4883
Cr Ga N
2 2 4
Direct
0.0000 0.0000 0.0000 Cr
0.7500 0.2500 0.5000 Cr
0.2500 0.7500 0.5000 Ga
0.5000 0.5000 0.0000 Ga
0.1228 0.6250 0.9978 N
0.3750 0.3728 0.4978 N
0.6272 0.1250 0.0022 N
0.8750 0.8772 0.5022 N
```

## Properties
Electronic total energy in eV/atom: -7.584
Space group: No. 122
Calculated volume in A^3/atom: 11.659



Cr2GaN: optimized geometry, GGA-PBE.

The structure in POSCAR format:
```
Cr2GaN
1.0
2.9135 0.0000 0.0000
-1.4567 2.5231 0.0000
0.0000 0.0000 12.2838
Cr Ga N
4 2 2
Direct
0.3333 0.6667 0.0808 Cr
0.3333 0.6667 0.4192 Cr
0.6667 0.3333 0.5808 Cr
0.6667 0.3333 0.9192 Cr
0.3333 0.6667 0.7500 Ga
0.6667 0.3333 0.2500 Ga
0.0000 0.0000 0.0000 N
0.0000 0.0000 0.5000 N
```

## Properties
Relative energy among the computed polymorphs in eV per formula unit: 0.000
Space group: No. 194
Calculated volume in A^3/atom: 11.288



CrGa2N3: optimized geometry, GGA-PBE.

The structure in POSCAR format:
```
CrGa2N3
1.0
4.7857 -2.8280 0.0000
4.7857 2.8280 0.0000
0.0000 0.0000 5.2218
Cr Ga N
2 4 6
Direct
0.1501 0.8499 0.5000 Cr
0.8499 0.1501 0.0000 Cr
0.1697 0.4930 0.9982 Ga
0.4930 0.1697 0.4982 Ga
0.5070 0.8303 0.9982 Ga
0.8303 0.5070 0.4982 Ga
0.1690 0.5003 0.6216 N
0.1727 0.8273 0.1280 N
0.5003 0.1690 0.1216 N
0.4997 0.8310 0.6216 N
0.8273 0.1727 0.6280 N
0.8310 0.4997 0.1216 N
```

## Properties
Electronic total energy in eV/atom: -7.049
Space group: No. 36
Calculated volume in A^3/atom: 11.778



Cr2GaN: optimized geometry, GGA-PBE.

The structure in POSCAR format:
```
Cr2GaN
1.0
0.0000 2.8085 2.8085
2.8085 0.0000 2.8085
2.8085 2.8085 0.0000
Cr Ga N
2 1 1
Direct
0.2500 0.2500 0.2500 Cr
0.7500 0.7500 0.7500 Cr
0.0000 0.0000 0.0000 Ga
0.5000 0.5000 0.5000 N
```

## Properties
Relative energy among the computed polymorphs in eV per formula unit: 5.090
Space group: No. 225
Calculated volume in A^3/atom: 11.077



CrGaN3: optimized geometry, GGA-PBE.

The structure in POSCAR format:
```
CrGaN3
1.0
3.7342 0.0000 0.0000
0.0000 3.7342 0.0000
0.0000 0.0000 3.7342
Cr Ga N
1 1 3
Direct
0.0000 0.0000 0.0000 Cr
0.5000 0.5000 0.5000 Ga
0.0000 0.0000 0.5000 N
0.0000 0.5000 0.0000 N
0.5000 0.0000 0.0000 N
```

## Properties
Electronic total energy in eV/atom: -6.739
Space group: No. 221
Calculated volume in A^3/atom: 10.414



CrGaN2: optimized geometry, GGA-PBE.

The structure in POSCAR format:
```
CrGaN2
1.0
5.5458 0.0000 0.0000
0.0000 6.5638 0.0000
0.0000 0.0000 5.1534
Cr Ga N
4 4 8
Direct
0.0776 0.1251 0.0000 Cr
0.4224 0.6251 0.5000 Cr
0.5776 0.3749 0.0000 Cr
0.9224 0.8749 0.5000 Cr
0.0822 0.6251 0.0043 Ga
0.4178 0.1251 0.5043 Ga
0.5822 0.8749 0.0043 Ga
0.9178 0.3749 0.5043 Ga
0.0830 0.1275 0.3810 N
0.0831 0.6228 0.3891 N
0.4169 0.1228 0.8891 N
0.4170 0.6275 0.8810 N
0.5830 0.3725 0.3810 N
0.5831 0.8772 0.3891 N
0.9169 0.3772 0.8891 N
0.9170 0.8725 0.8810 N
```

## Properties
Electronic total energy in eV/atom: -7.569
Space group: No. 33
Calculated volume in A^3/atom: 11.724



Cr2GaN: optimized geometry, GGA-PBE.

The structure in POSCAR format:
```
Cr2GaN
1.0
1.4646 0.8456 6.1795
-1.4646 0.8456 6.1795
0.0000 -1.6912 6.1795
Cr Ga N
2 1 1
Direct
0.2193 0.2193 0.2193 Cr
0.7807 0.7807 0.7807 Cr
0.0000 0.0000 0.0000 Ga
0.5000 0.5000 0.5000 N
```

## Properties
Relative energy among the computed polymorphs in eV per formula unit: 0.123
Space group: No. 166
Calculated volume in A^3/atom: 11.479



Cr4Ga2N: optimized geometry, GGA-PBE.

The structure in POSCAR format:
```
Cr4Ga2N
1.0
-1.8900 1.8900 6.4531
1.8900 -1.8900 6.4531
1.8900 1.8900 -6.4531
Cr Ga N
4 2 1
Direct
0.0000 0.5000 0.5000 Cr
0.1589 0.1589 0.0000 Cr
0.5000 0.0000 0.5000 Cr
0.8411 0.8411 0.0000 Cr
0.3577 0.3577 0.0000 Ga
0.6423 0.6423 0.0000 Ga
0.0000 0.0000 0.0000 N
```

## Properties
Electronic total energy in eV/atom: -7.608
Space group: No. 139
Calculated volume in A^3/atom: 13.172



CrGaN: optimized geometry, GGA-PBE.

The structure in POSCAR format:
```
CrGaN
1.0
1.6039 0.9260 9.1804
-1.6039 0.9260 9.1804
0.0000 -1.8521 9.1804
Cr Ga N
2 2 2
Direct
0.1348 0.1348 0.1348 Cr
0.8652 0.8652 0.8652 Cr
0.3759 0.3759 0.3759 Ga
0.6241 0.6241 0.6241 Ga
0.2070 0.2070 0.2070 N
0.7930 0.7930 0.7930 N
```

## Properties
Electronic total energy in eV/atom: -7.154
Space group: No. 166
Calculated volume in A^3/atom: 13.636



CrGaN2: optimized geometry, GGA-PBE.

The structure in POSCAR format:
```
CrGaN2
1.0
1.5438 0.8913 5.7323
-1.5438 0.8913 5.7323
0.0000 -1.7826 5.7323
Cr Ga N
1 1 2
Direct
0.0000 0.0000 0.0000 Cr
0.5000 0.5000 0.5000 Ga
0.1034 0.1034 0.1034 N
0.8966 0.8966 0.8966 N
```

## Properties
Electronic total energy in eV/atom: -6.904
Space group: No. 166
Calculated volume in A^3/atom: 11.831



Cr2GaN: optimized geometry, GGA-PBE.

The structure in POSCAR format:
```
Cr2GaN
1.0
1.4580 0.8418 6.2187
-1.4580 0.8418 6.2187
0.0000 -1.6836 6.2187
Cr Ga N
2 1 1
Direct
0.0000 0.0000 0.0000 Cr
0.2248 0.2248 0.2248 Cr
0.4464 0.4464 0.4464 Ga
0.6135 0.6135 0.6135 N
```

## Properties
Relative energy among the computed polymorphs in eV per formula unit: 0.102
Space group: No. 160
Calculated volume in A^3/atom: 11.449



Cr2GaN: optimized geometry, GGA-PBE.

The structure in POSCAR format:
```
Cr2GaN
1.0
-3.0597 3.0597 2.4735
3.0597 -3.0597 2.4735
3.0597 3.0597 -2.4735
Cr Ga N
4 2 2
Direct
0.0262 0.6250 0.9012 Cr
0.3750 0.2762 0.4012 Cr
0.7238 0.1250 0.0988 Cr
0.8750 0.9738 0.5988 Cr
0.2500 0.7500 0.5000 Ga
0.5000 0.5000 0.0000 Ga
0.0000 0.0000 0.0000 N
0.7500 0.2500 0.5000 N
```

## Properties
Relative energy among the computed polymorphs in eV per formula unit: 1.464
Space group: No. 122
Calculated volume in A^3/atom: 11.578



Cr3Ga2N4: optimized geometry, GGA-PBE.

The structure in POSCAR format:
```
Cr3Ga2N4
1.0
6.1226 -3.3025 0.0000
6.1226 3.3025 0.0000
-1.4411 0.0000 4.9480
Cr Ga N
6 4 8
Direct
0.0634 0.9366 0.7500 Cr
0.3139 0.5323 0.8736 Cr
0.4677 0.6861 0.6264 Cr
0.5323 0.3139 0.3736 Cr
0.6861 0.4677 0.1264 Cr
0.9366 0.0634 0.2500 Cr
0.0627 0.3358 0.7340 Ga
0.3358 0.0627 0.2340 Ga
0.6642 0.9373 0.7660 Ga
0.9373 0.6642 0.2660 Ga
0.0116 0.7879 0.9971 N
0.2121 0.9884 0.5029 N
0.2508 0.5641 0.5028 N
0.4359 0.7492 0.9972 N
0.5641 0.2508 0.0028 N
0.7492 0.4359 0.4972 N
0.7879 0.0116 0.4971 N
0.9884 0.2121 0.0029 N
```

## Properties
Electronic total energy in eV/atom: -7.702
Space group: No. 15
Calculated volume in A^3/atom: 11.117



CrGaN3: optimized geometry, GGA-PBE.

The structure in POSCAR format:
```
CrGaN3
1.0
3.7569 0.0000 0.0000
0.0000 3.7569 0.0000
0.0000 0.0000 3.7569
Cr Ga N
1 1 3
Direct
0.0000 0.0000 0.0000 Cr
0.5000 0.5000 0.5000 Ga
0.0000 0.5000 0.5000 N
0.5000 0.0000 0.5000 N
0.5000 0.5000 0.0000 N
```

## Properties
Electronic total energy in eV/atom: -5.689
Space group: No. 221
Calculated volume in A^3/atom: 10.605



NbCr2GaN: optimized geometry, GGA-PBE.

The structure in POSCAR format:
```
NbCr2GaN
1.0
3.8566 0.0000 0.0000
0.0000 3.8566 0.0000
0.0000 0.0000 4.2508
Nb Cr Ga N
1 2 1 1
Direct
0.0000 0.0000 0.0000 Nb
0.0000 0.5000 0.5000 Cr
0.5000 0.0000 0.5000 Cr
0.5000 0.5000 0.0000 Ga
0.0000 0.0000 0.5000 N
```

## Properties
Electronic total energy in eV/atom: -8.454
Space group: No. 123
Calculated volume in A^3/atom: 12.645